No. 1
Density functional theory data (PBE) for Sm6NiIr2Br3 after structural relaxation.

Computed properties:
* theoretical density: 7.9 g/cm3
* total magnetic moment: 0.000 μB/cell
* space group: C2/m (12)

abc: 7.0762 7.0762 8.0710
angles: 98.41 98.41 119.99
Sites, in units of the cell vectors:
Ni  0.0000  0.0000  0.0000
Ir  0.6667  0.3333  0.0000
Sm  0.6043  0.9355  0.8063
Sm  0.2664  0.2664  0.8061
Sm  0.0645  0.3957  0.1937
Sm  0.7336  0.7336  0.1939
Sm  0.3957  0.0645  0.1937
Br  0.8338  0.1662  0.5000
Br  0.5000  0.5000  0.5000
Br  0.1662  0.8338  0.5000
Ir  0.3333  0.6667  0.0000
Sm  0.9355  0.6043  0.8063

=====

No. 2
Density functional theory data (PBE) for SrNiIrBr2 after structural relaxation.

Computed properties:
* theoretical density: 5.6 g/cm3
* total magnetic moment: 1.345 μB/cell
* space group: P4/mmm (123)

abc: 4.9978 5.9598 4.9978
angles: 90.00 90.00 90.00
Each line ends with the local moment (μB).
Sites, in units of the cell vectors:
Ir  0.0000  0.0000  0.0000  0.09
Sr  0.0000  0.5000  0.0000  -0.01
Br  0.0000  0.0000  0.5000  0.02
Br  0.5000  0.0000  0.0000  0.03
Ni  0.5000  0.5000  0.5000  1.06

=====

No. 3
Density functional theory data (PBE) for TcNi2IrBr after structural relaxation.

Computed properties:
* theoretical density: 9.6 g/cm3
* total magnetic moment: 3.283 μB/cell
* space group: P4/mmm (123)

abc: 4.2290 4.6958 4.2290
angles: 90.00 90.00 90.00
Each line ends with the local moment (μB).
Sites, in units of the cell vectors:
Ir  0.5000  0.5000  0.5000  0.75
Tc  0.0000  0.5000  0.0000  1.89
Ni  0.0000  0.0000  0.5000  0.24
Ni  0.5000  0.0000  0.0000  0.28
Br  0.0000  0.0000  0.0000  0.02

=====

The calculation returns the following energy relative to the elements, uncorrected values, one per record and in order: -1.016 0.465 1.437 eV per atom.